(1)
Below is a relaxed Pu2PaN3 crystal, with properties calculated at the PBE level.

Values from the calculation:
As for the relative energy among the computed polymorphs: 318.9 meV per atom. The calculated total energy is -278.00 eV/cell. For the total moment, the calculation gives 11.547 μB per formula unit. The calculation puts the energy relative to the elements, uncorrected at -1.06 eV per atom.

Lattice parameters (Å, degrees): 13.4720 3.4914 8.3324 90.00 106.94 90.00
Last column: nearest neighbours and their distance in Å.
Space group C2/m (No. 12)
One atom of each set of equivalent atoms:
Pu 0.1707 0.0000 0.3399 (multiplicity 4)  6 N 2.43-2.59
Pu 0.1728 0.5000 0.8382 (multiplicity 4)  6 N 2.46-2.60
Pa 0.0000 0.0000 0.5000 (multiplicity 2)  6 N 2.45-2.46
Pa 0.0000 0.5000 0.0000 (multiplicity 2)  6 N 2.41-2.50
N 0.0241 0.5000 0.3088 (multiplicity 4)  3 Pa 2.45-2.50, 3 Pu 2.58-2.59
N 0.1275 0.0000 0.0274 (multiplicity 4)  2 Pa 2.41, 4 Pu 2.50-2.60
N 0.1882 0.0000 0.6390 (multiplicity 4)  5 Pu 2.43-2.55, 1 Pa 2.46

(2)
Below is a relaxed Pu3Pa2N8 crystal, with properties calculated at the PBE level.

Values from the calculation:
The calculated total energy is -143.76 eV/cell. For the total moment, the calculation gives 10.000 μB per formula unit. The calculation puts the energy relative to the elements, uncorrected at -1.17 eV per atom.

Lattice parameters (Å, degrees): 6.2972 3.6521 8.9334 90.00 107.47 90.00
Last column: nearest neighbours and their distance in Å.
Space group P2/m (No. 10)
One atom of each set of equivalent atoms:
Pu 0.0000 0.0000 0.0000 (multiplicity 1)  2 N 2.24
Pu 0.2597 0.5000 0.3326 (multiplicity 2)  7 N 2.20-2.38
Pa 0.2486 0.0000 0.6928 (multiplicity 2)  4 N 2.20-2.35
N 0.0864 0.5000 0.8344 (multiplicity 2)  1 Pu 2.24
N 0.1287 0.0000 0.4166 (multiplicity 2)  2 Pu 2.22, 2 Pa 2.28-2.35
N 0.3280 0.0000 0.1890 (multiplicity 2)  3 Pu 2.24-2.34
N 0.3760 0.5000 0.6122 (multiplicity 2)  2 Pu 2.20-2.38, 2 Pa 2.20

(3)
Below is a relaxed Pu2PaN crystal, with properties calculated at the PBE level.

Values from the calculation:
As for the relative energy among the computed polymorphs: 303.5 meV per atom. The calculated total energy is -47.04 eV/cell. For the total moment, the calculation gives 10.013 μB per formula unit. The calculation puts the energy relative to the elements, uncorrected at -0.14 eV per atom.

Lattice parameters (Å, degrees): 3.0460 3.0460 8.2994 90.00 90.00 90.00
Last column: nearest neighbours and their distance in Å.
Space group P4/mmm (No. 123)
One atom of each set of equivalent atoms:
Pu 0.0000 0.0000 0.1738 (multiplicity 2)  4 N 2.59, 1 Pu 2.88
Pa 0.5000 0.5000 0.5000 (multiplicity 1)  4 Pa 3.05
N 0.5000 0.5000 0.0000 (multiplicity 1)  8 Pu 2.59

(4)
Below is a relaxed Pu3PaN6 crystal, with properties calculated at the PBE level.

Values from the calculation:
As for the relative energy among the computed polymorphs: 118.9 meV per atom. The calculated total energy is -340.00 eV/cell. For the total moment, the calculation gives 4.128 μB per formula unit. The calculation puts the energy relative to the elements, uncorrected at -1.09 eV per atom.

Lattice parameters (Å, degrees): 5.9338 5.9338 14.6234 90.00 90.00 120.00
Last column: nearest neighbours and their distance in Å.
Space group R3 (No. 146, hexagonal axes)
One atom of each set of equivalent atoms:
Pu 0.0000 0.0000 0.0000 (multiplicity 3)  6 N 2.31-2.40
Pu 0.0000 0.0000 0.2220 (multiplicity 3)  6 N 2.28-2.29
Pu 0.0000 0.0000 0.7226 (multiplicity 3)  6 N 2.29-2.30
Pa 0.0000 0.0000 0.5000 (multiplicity 3)  6 N 2.28-2.37
N 0.0512 0.3804 0.7834 (multiplicity 9)  1 Pa 2.28, 3 Pu 2.28-2.40
N 0.0573 0.6750 0.2819 (multiplicity 9)  3 Pu 2.29-2.31, 1 Pa 2.37

(5)
Below is a relaxed Pu3PaN crystal, with properties calculated at the PBE level.

Values from the calculation:
The calculated total energy is -61.87 eV/cell. For the total moment, the calculation gives 14.566 μB per formula unit. The calculation puts the energy relative to the elements, uncorrected at -0.21 eV per atom.

Lattice parameters (Å, degrees): 4.7394 4.7394 4.7394 90.00 90.00 90.00
Last column: nearest neighbours and their distance in Å.
Space group Pm-3m (No. 221)
One atom of each set of equivalent atoms:
Pu 0.0000 0.0000 0.5000 (multiplicity 3)  2 N 2.37
Pa 0.5000 0.5000 0.5000 (multiplicity 1)  12 Pu 3.35
N 0.0000 0.0000 0.0000 (multiplicity 1)  6 Pu 2.37

(6)
Below is a relaxed Pu2PaN3 crystal, with properties calculated at the PBE level.

Values from the calculation:
As for the relative energy among the computed polymorphs: 0.0 meV per atom. The calculated total energy is -142.83 eV/cell. For the total moment, the calculation gives 10.076 μB per formula unit. The calculation puts the energy relative to the elements, uncorrected at -1.38 eV per atom.

Lattice parameters (Å, degrees): 3.5231 4.9401 10.4332 90.00 90.00 90.00
Last column: nearest neighbours and their distance in Å.
Space group Immm (No. 71)
One atom of each set of equivalent atoms:
Pu 0.0000 0.0000 0.1690 (multiplicity 4)  6 N 2.47-2.51
Pa 0.0000 0.0000 0.5000 (multiplicity 2)  6 N 2.43-2.47
N 0.0000 0.5000 0.1603 (multiplicity 4)  2 Pa 2.43, 4 Pu 2.47-2.51
N 0.0000 0.5000 0.5000 (multiplicity 2)  2 Pa 2.47, 4 Pu 2.49

(7)
Below is a relaxed PuPa6N12 crystal, with properties calculated at the PBE level.

Values from the calculation:
The calculated total energy is -606.34 eV/cell. For the total moment, the calculation gives 2.000 μB per formula unit. The calculation puts the energy relative to the elements, uncorrected at -1.63 eV per atom.

Lattice parameters (Å, degrees): 10.0651 10.0651 9.4534 90.00 90.00 120.00
Last column: nearest neighbours and their distance in Å.
Space group R-3 (No. 148, hexagonal axes)
One atom of each set of equivalent atoms:
Pu 0.0000 0.0000 0.0000 (multiplicity 3)  6 N 2.16
Pa 0.0480 0.7921 0.6558 (multiplicity 18)  6 N 2.25-2.42
N 0.0338 0.8080 0.4012 (multiplicity 18)  4 Pa 2.25-2.42
N 0.0410 0.8324 0.8957 (multiplicity 18)  1 Pu 2.16, 2 Pa 2.31-2.34

(8)
Below is a relaxed PuPa4N10 crystal, with properties calculated at the PBE level.

Values from the calculation:
The calculated total energy is -306.52 eV/cell. For the total moment, the calculation gives 0.001 μB per formula unit. The calculation puts the energy relative to the elements, uncorrected at -1.18 eV per atom.

Lattice parameters (Å, degrees): 8.4845 8.4845 5.3746 90.00 90.00 90.00
Last column: nearest neighbours and their distance in Å.
Space group I4/m (No. 87)
One atom of each set of equivalent atoms:
Pu 0.0000 0.0000 0.0000 (multiplicity 2)  8 N 2.23
Pa 0.0998 0.3009 0.5000 (multiplicity 8)  8 N 2.32-2.37
N 0.0000 0.5000 0.2500 (multiplicity 4)  4 Pa 2.32
N 0.0974 0.8093 0.2410 (multiplicity 16)  1 Pu 2.23, 3 Pa 2.35-2.37

(9)
Below is a relaxed Rb2PuPaN4 crystal, with properties calculated at the PBE level.

Values from the calculation:
The calculated total energy is -66.14 eV/cell. For the total moment, the calculation gives 3.000 μB per formula unit. The calculation puts the energy relative to the elements, uncorrected at -0.88 eV per atom.

Lattice parameters (Å, degrees): 6.2241 3.5797 7.0237 90.00 107.37 90.00
Last column: nearest neighbours and their distance in Å.
Space group P2/m (No. 10)
One atom of each set of equivalent atoms:
Rb 0.0000 0.0000 0.0000 (multiplicity 1)  6 N 3.12
Rb 0.5000 0.5000 0.0000 (multiplicity 1)  6 N 3.14-3.15
Pu 0.0000 0.5000 0.5000 (multiplicity 1)  6 N 2.29
Pa 0.5000 0.0000 0.5000 (multiplicity 1)  6 N 2.31-2.33
N 0.2124 0.0000 0.6495 (multiplicity 2)  2 Pu 2.29, 1 Pa 2.33
N 0.2800 0.5000 0.3496 (multiplicity 2)  1 Pu 2.29, 2 Pa 2.31

(10)
Below is a relaxed Pu2PaRhN4 crystal, with properties calculated at the PBE level.

Values from the calculation:
The calculated total energy is -347.22 eV/cell. For the total moment, the calculation gives 8.007 μB per formula unit. The calculation puts the energy relative to the elements, uncorrected at -1.00 eV per atom.

Lattice parameters (Å, degrees): 3.3919 11.4881 11.5631 90.00 90.00 90.00
Last column: nearest neighbours and their distance in Å.
Space group Cmcm (No. 63)
One atom of each set of equivalent atoms:
Pu 0.0000 0.1284 0.0569 (multiplicity 8)  3 N 2.27-2.34
Pa 0.0000 0.3853 0.2500 (multiplicity 4)  6 N 2.29-2.55
Rh 0.0000 0.3474 0.7500 (multiplicity 4)  4 N 2.14-2.28
N 0.0000 0.0198 0.2500 (multiplicity 4)  2 Rh 2.28, 2 Pa 2.29
N 0.0000 0.2150 0.6193 (multiplicity 8)  1 Rh 2.14, 1 Pu 2.27
N 0.0000 0.5000 0.0000 (multiplicity 4)  4 Pu 2.34

(11)
Below is a relaxed PuPa2RuN4 crystal, with properties calculated at the PBE level.

Values from the calculation:
The calculated total energy is -339.99 eV/cell. For the total moment, the calculation gives 5.004 μB per formula unit. The calculation puts the energy relative to the elements, uncorrected at -1.14 eV per atom.

Lattice parameters (Å, degrees): 3.3961 11.7792 11.6692 90.00 90.00 90.00
Last column: nearest neighbours and their distance in Å.
Space group Cmcm (No. 63)
One atom of each set of equivalent atoms:
Pu 0.0000 0.1096 0.2500 (multiplicity 4)  6 N 2.45-2.70
Pa 0.0000 0.3695 0.0580 (multiplicity 8)  6 N 2.28-2.49
Ru 0.0000 0.1538 0.7500 (multiplicity 4)  4 N 2.15-2.16
N 0.0000 0.0000 0.0000 (multiplicity 4)  4 Pa 2.39
N 0.0000 0.2753 0.6127 (multiplicity 8)  1 Ru 2.15, 1 Pa 2.28
N 0.0000 0.4596 0.2500 (multiplicity 4)  2 Ru 2.16

(12)
Below is a relaxed PuPaS2N crystal, with properties calculated at the PBE level.

Values from the calculation:
The calculated total energy is -98.77 eV/cell. For the total moment, the calculation gives 5.833 μB per formula unit. The calculation puts the energy relative to the elements, uncorrected at -1.80 eV per atom.

Lattice parameters (Å, degrees): 3.8527 3.8527 13.6182 90.00 90.00 90.00
Last column: nearest neighbours and their distance in Å.
Space group P4/nmm (No. 129, origin choice 2)
One atom of each set of equivalent atoms:
Pu 0.2500 0.2500 0.1103 (multiplicity 2)  6 S 2.73-2.84
Pa 0.2500 0.2500 0.5906 (multiplicity 2)  4 N 2.29
S 0.2500 0.2500 0.3131 (multiplicity 2)  1 Pu 2.76, 4 Pa 3.02
S 0.2500 0.2500 0.9020 (multiplicity 2)  5 Pu 2.73-2.84
N 0.2500 0.7500 0.5000 (multiplicity 2)  4 Pa 2.29